Record 1
Entry from the Alexandria database: a relaxed structure of Pr9CdIn2 (PBE).

Output
Its formation energy from the elements is -223.9 meV per atom.

Cell: 5.029 5.029 15.023 Å, 90.00 90.00 90.00°
Space group P4/mmm (No. 123)
Inequivalent atoms, fractional coordinates:
1 Pr 0.000 0.000 0.000 (multiplicity 1)
2 Pr 0.000 0.000 0.332 (multiplicity 2)
3 Pr 0.000 0.500 0.167 (multiplicity 4)
4 Pr 0.000 0.500 0.500 (multiplicity 2)
5 Cd 0.500 0.500 0.000 (multiplicity 1)
6 In 0.500 0.500 0.333 (multiplicity 2)

=====

Record 2
Entry from the Alexandria database: a relaxed structure of Pr5CdIn (PBE).

Output
Its formation energy from the elements is -101.5 meV per atom.

Cell: 8.851 9.035 11.822 Å, 90.00 103.36 90.00°
Space group C2/c (No. 15)
Inequivalent atoms, fractional coordinates:
1 Pr 0.000 0.114 0.250 (multiplicity 4)
2 Pr 0.121 0.356 0.533 (multiplicity 8)
3 Pr 0.209 0.216 0.842 (multiplicity 8)
4 Cd 0.000 0.000 0.000 (multiplicity 4)
5 In 0.000 0.476 0.250 (multiplicity 4)